# 1
Here is SmRe2H7 after structural relaxation from the Alexandria database. Energies are from PBE.

Cell lengths 5.528, 8.693, 3.634 Å; angles 90.00, 90.00, 90.00 degrees
Space group Cmmm (No. 65)
One atom of each set of equivalent atoms:
1 Sm 0.000 0.000 0.000 x2
2 Re 0.000 0.291 0.500 x4
3 H 0.000 0.321 0.000 x4
4 H 0.000 0.500 0.500 x2
5 H 0.188 0.127 0.500 x8

## Properties
Total energy, eV per atom: -5.265

***

# 2
Here is Cs3KS after structural relaxation from the Alexandria database. Energies are from PBE.

Cell lengths 6.996, 6.996, 6.996 Å; angles 90.00, 90.00, 90.00 degrees
Space group Pm-3m (No. 221)
One atom of each set of equivalent atoms:
1 Cs 0.000 0.000 0.500 x3
2 K 0.500 0.500 0.500 x1
3 S 0.000 0.000 0.000 x1

## Properties
ΔE to the lowest computed polymorph, kJ/mol of atoms: 0.0
ΔE_f (raw), kJ/mol of formula units: -253
Total energy, eV per atom: -2.082

***

# 3
Here is Sc2BeZn after structural relaxation from the Alexandria database. Energies are from PBE.

Cell lengths 3.2547, 3.2547, 24.9367 Å; angles 90.00, 90.00, 120.00 degrees
Space group R-3m (No. 166, hexagonal axes)
One atom of each set of equivalent atoms:
1 Sc 0.0000 0.0000 0.2439 x6
2 Be 0.0000 0.0000 0.5000 x3
3 Zn 0.0000 0.0000 0.0000 x3

## Properties
ΔE to the lowest computed polymorph, kJ/mol of atoms: 27.8
Total energy, eV per atom: -4.338

***

# 4
Here is CeSmFe after structural relaxation from the Alexandria database. Energies are from PBE.

Cell lengths 3.378, 3.378, 12.730 Å; angles 90.00, 90.00, 90.00 degrees
Space group I4mm (No. 107)
One atom of each set of equivalent atoms:
1 Ce 0.000 0.000 0.000 x2
2 Sm 0.000 0.000 0.258 x2
3 Fe 0.000 0.000 0.614 x2

## Properties
ΔE to the lowest computed polymorph, kJ/mol of atoms: 8.1
Total energy, eV per atom: -6.253

***

# 5
Here is TaSbPt2S after structural relaxation from the Alexandria database. Energies are from PBE.

Cell lengths 4.891, 4.891, 4.931 Å; angles 90.00, 90.00, 90.00 degrees
Space group P4/mmm (No. 123)
One atom of each set of equivalent atoms:
1 Ta 0.000 0.000 0.000 x1
2 Sb 0.500 0.500 0.500 x1
3 Pt 0.000 0.500 0.500 x2
4 S 0.500 0.500 0.000 x1

## Properties
ΔE_f (raw), kJ/mol of formula units: 585
Total energy, eV per atom: -5.224

***

# 6
Here is Fe2Ni2W after structural relaxation from the Alexandria database. Energies are from PBE.

Cell lengths 6.891, 6.891, 2.586 Å; angles 90.00, 90.00, 90.00 degrees
Space group P4/mbm (No. 127)
One atom of each set of equivalent atoms:
1 Fe 0.173 0.327 0.000 x4
2 Ni 0.123 0.623 0.500 x4
3 W 0.000 0.000 0.500 x2

## Properties
ΔE to the lowest computed polymorph, kJ/mol of atoms: 13.6
Total energy, eV per atom: -8.129

***

# 7
Here is Pr4Nd7Tm after structural relaxation from the Alexandria database. Energies are from PBE.

Cell lengths 16.593, 6.117, 9.428 Å; angles 90.00, 116.10, 90.00 degrees
Space group C2/m (No. 12)
One atom of each set of equivalent atoms:
1 Pr 0.075 0.000 0.201 x4
2 Pr 0.174 0.000 0.887 x4
3 Nd 0.000 0.000 0.500 x2
4 Nd 0.080 0.500 0.933 x4
5 Nd 0.207 0.500 0.374 x4
6 Nd 0.207 0.500 0.721 x4
7 Tm 0.000 0.500 0.500 x2

## Properties
ΔE to the lowest computed polymorph, kJ/mol of atoms: 18.6
Total energy, eV per atom: -4.537

***

# 8
Here is K2Ca3NdF12 after structural relaxation from the Alexandria database. Energies are from PBE.

Cell lengths 8.0640, 8.0640, 21.4367 Å; angles 90.00, 90.00, 120.00 degrees
Space group R-3m (No. 166, hexagonal axes)
One atom of each set of equivalent atoms:
1 K 0.0000 0.0000 0.0824 x6
2 Ca 0.0000 0.5000 0.0000 x9
3 Nd 0.0000 0.0000 0.5000 x3
4 F 0.0394 0.5197 0.3588 x18
5 F 0.0739 0.5370 0.1021 x18

## Properties
ΔE_f (raw), kJ/mol of formula units: -5851
Total energy, eV per atom: -5.337

***

# 9
Here is Ca2MgTa after structural relaxation from the Alexandria database. Energies are from PBE.

Cell lengths 7.503, 7.503, 7.503 Å; angles 90.00, 90.00, 90.00 degrees
Space group F-43m (No. 216)
One atom of each set of equivalent atoms:
1 Ca 0.000 0.000 0.000 x4
2 Ca 0.250 0.250 0.250 x4
3 Mg 0.250 0.250 0.750 x4
4 Ta 0.000 0.000 0.500 x4

## Properties
Total energy, eV per atom: -3.662

***

# 10
Here is La3Pr2Co2 after structural relaxation from the Alexandria database. Energies are from PBE.

Cell lengths 12.452, 3.848, 9.233 Å; angles 90.00, 114.96, 90.00 degrees
Space group C2/m (No. 12)
One atom of each set of equivalent atoms:
1 La 0.000 0.000 0.000 x2
2 La 0.115 0.000 0.419 x4
3 Pr 0.177 0.500 0.808 x4
4 Co 0.175 0.500 0.249 x4

## Properties
Total energy, eV per atom: -5.573

***

# 11
Here is Nd3YTm4 after structural relaxation from the Alexandria database. Energies are from PBE.

Cell lengths 11.386, 7.305, 6.275 Å; angles 90.00, 90.00, 90.00 degrees
Space group Pmn2_1 (No. 31)
One atom of each set of equivalent atoms:
1 Nd 0.000 0.130 0.000 x2
2 Nd 0.249 0.872 0.837 x4
3 Y 0.000 0.870 0.497 x2
4 Tm 0.000 0.379 0.500 x2
5 Tm 0.000 0.620 0.000 x2
6 Tm 0.249 0.620 0.333 x4

## Properties
ΔE to the lowest computed polymorph, kJ/mol of atoms: 0.0
Total energy, eV per atom: -4.811

***

# 12
Here is TbDy4Ga5 after structural relaxation from the Alexandria database. Energies are from PBE.

Cell lengths 3.568, 3.568, 17.920 Å; angles 90.00, 90.00, 90.00 degrees
Space group P4/mmm (No. 123)
One atom of each set of equivalent atoms:
1 Tb 0.000 0.000 0.000 x1
2 Dy 0.000 0.000 0.201 x2
3 Dy 0.000 0.000 0.400 x2
4 Ga 0.500 0.500 0.101 x2
5 Ga 0.500 0.500 0.300 x2
6 Ga 0.500 0.500 0.500 x1

## Properties
Total energy, eV per atom: -4.401

***

# 13
Here is Yb3Mn after structural relaxation from the Alexandria database. Energies are from PBE.

Cell lengths 7.633, 7.633, 7.633 Å; angles 90.00, 90.00, 90.00 degrees
Space group Fm-3m (No. 225)
One atom of each set of equivalent atoms:
1 Yb 0.000 0.000 0.000 x4
2 Yb 0.250 0.250 0.250 x8
3 Mn 0.000 0.000 0.500 x4

## Properties
Total energy, eV per atom: -3.267

***

# 14
Here is Cs3Dy2ErTe6 after structural relaxation from the Alexandria database. Energies are from PBE.

Cell lengths 7.870, 13.632, 9.294 Å; angles 90.00, 106.40, 90.00 degrees
Space group C2/m (No. 12)
One atom of each set of equivalent atoms:
1 Cs 0.000 0.000 0.000 x2
2 Cs 0.000 0.333 0.000 x4
3 Dy 0.000 0.167 0.500 x4
4 Er 0.000 0.500 0.500 x2
5 Te 0.229 0.334 0.689 x8
6 Te 0.232 0.000 0.689 x4

## Properties
ΔE_f (raw), kJ/mol of formula units: -1599
Total energy, eV per atom: -4.312

***

# 15
Here is Na3ErO3 after structural relaxation from the Alexandria database. Energies are from PBE.

Cell lengths 6.644, 6.962, 9.949 Å; angles 90.00, 90.00, 90.00 degrees
Space group Imma (No. 74)
One atom of each set of equivalent atoms:
1 Na 0.000 0.250 0.222 x4
2 Na 0.222 0.000 0.000 x8
3 Er 0.000 0.250 0.782 x4
4 O 0.000 0.250 0.990 x4
5 O 0.250 0.033 0.750 x8

## Properties
ΔE_f (raw), kJ/mol of formula units: -1387
Total energy, eV per atom: -5.396

***

# 16
Here is Dy5Tl2PdRh2 after structural relaxation from the Alexandria database. Energies are from PBE.

Cell lengths 11.675, 11.675, 3.587 Å; angles 90.00, 90.00, 90.00 degrees
Space group P4/mbm (No. 127)
One atom of each set of equivalent atoms:
1 Dy 0.000 0.500 0.000 x2
2 Dy 0.073 0.198 0.000 x8
3 Tl 0.173 0.673 0.500 x4
4 Pd 0.000 0.000 0.500 x2
5 Rh 0.134 0.366 0.500 x4

## Properties
Total energy, eV per atom: -5.402

***

# 17
Here is Y2TmTaN4 after structural relaxation from the Alexandria database. Energies are from PBE.

Cell lengths 5.785, 3.331, 5.806 Å; angles 90.00, 109.08, 90.00 degrees
Space group P2/m (No. 10)
One atom of each set of equivalent atoms:
1 Y 0.000 0.000 0.000 x1
2 Y 0.500 0.500 0.000 x1
3 Tm 0.000 0.500 0.500 x1
4 Ta 0.500 0.000 0.500 x1
5 N 0.261 0.000 0.731 x2
6 N 0.271 0.500 0.275 x2

## Properties
ΔE_f (raw), kJ/mol of formula units: -1212
Total energy, eV per atom: -9.389

***

# 18
Here is Ca2YReSb after structural relaxation from the Alexandria database. Energies are from PBE.

Cell lengths 5.427, 5.427, 5.277 Å; angles 90.00, 90.00, 90.00 degrees
Space group P4/mmm (No. 123)
One atom of each set of equivalent atoms:
1 Ca 0.000 0.500 0.000 x2
2 Y 0.000 0.000 0.500 x1
3 Re 0.000 0.000 0.000 x1
4 Sb 0.500 0.500 0.500 x1

## Properties
ΔE_f (raw), kJ/mol of formula units: 150
Total energy, eV per atom: -5.097

***

# 19
Here is K2BaCrH8 after structural relaxation from the Alexandria database. Energies are from PBE.

Cell lengths 6.661, 3.362, 7.082 Å; angles 90.00, 96.93, 90.00 degrees
Space group P2/m (No. 10)
One atom of each set of equivalent atoms:
1 K 0.047 0.000 0.260 x2
2 Ba 0.500 0.000 0.000 x1
3 Cr 0.500 0.500 0.500 x1
4 H 0.197 0.500 0.964 x2
5 H 0.248 0.500 0.547 x2
6 H 0.407 0.500 0.266 x2
7 H 0.466 0.000 0.393 x2

## Properties
Total energy, eV per atom: -3.475

***

# 20
Here is WAu3Cl after structural relaxation from the Alexandria database. Energies are from PBE.

Cell lengths 5.095, 5.095, 5.095 Å; angles 90.00, 90.00, 90.00 degrees
Space group Pm-3m (No. 221)
One atom of each set of equivalent atoms:
1 W 0.000 0.000 0.000 x1
2 Au 0.000 0.000 0.500 x3
3 Cl 0.500 0.500 0.500 x1

## Properties
ΔE to the lowest computed polymorph, kJ/mol of atoms: 0.0
ΔE_f (raw), kJ/mol of formula units: 592
Total energy, eV per atom: -3.699